Run A
Here is an optimized crystal structure of OsNF2 from Alexandria. Energies are from PBE.

a b c (Å): 2.6322 2.6322 28.3538
angles (deg): 90.00 90.00 120.00
Closest atoms and distances in Å follow each position.
Space group R-3m (No. 166, hexagonal axes)
Asymmetric unit:
Os1 0.0000 0.0000 0.0000 x3  2 F 1.89
N1 0.0000 0.0000 0.5000 x3  6 N 2.63
F1 0.0000 0.0000 0.0666 x6  1 Os 1.89

Size of the total moment in μB per cell: 4.5

***

Run B
Here is an optimized crystal structure of OsNF2 from Alexandria. Energies are from PBE.

a b c (Å): 2.6024 2.6024 22.7167
angles (deg): 90.00 90.00 120.00
Closest atoms and distances in Å follow each position.
Space group R-3m (No. 166, hexagonal axes)
Asymmetric unit:
Os1 0.0000 0.0000 0.0000 x3  6 F 2.50, 6 Os 2.60
N1 0.0000 0.0000 0.5000 x3  2 F 1.79
F1 0.0000 0.0000 0.4214 x6  1 N 1.79

Size of the total moment in μB per cell: 0.0

***

Name the least stable of them. run B.

***

Run A
Here is an optimized crystal structure of OsN2F from Alexandria. Energies are from PBE.

a b c (Å): 5.1530 5.1530 5.1530
angles (deg): 90.00 90.00 90.00
Closest atoms and distances in Å follow each position.
Space group Fm-3m (No. 225)
Asymmetric unit:
Os1 0.0000 0.0000 0.0000 x4  8 N 2.23
N1 0.2500 0.2500 0.2500 x8  4 F 2.23, 4 Os 2.23
F1 0.0000 0.0000 0.5000 x4  8 N 2.23

Size of the total moment in μB per cell: 0.0

***

Run B
Here is an optimized crystal structure of OsN2F from Alexandria. Energies are from PBE.

a b c (Å): 5.8679 5.8679 8.3148
angles (deg): 90.00 90.00 90.00
Closest atoms and distances in Å follow each position.
Space group I-42d (No. 122)
Asymmetric unit:
Os1 0.0000 0.0000 0.0000 x4  4 N 1.80
N1 0.0020 0.7500 0.1250 x8  2 Os 1.80
F1 0.0000 0.0000 0.5000 x4  12 N 3.43-3.45, 4 F 3.60, 4 Os 3.60

Size of the total moment in μB per cell: 1.5

***

Name the least stable of them. run A.